# 1
## Rb2HIr (GGA-PBE)

Data for an optimized crystal structure of Rb2HIr.

Cell lengths 7.9520, 7.9520, 7.9520 Å; angles 90.00, 90.00, 90.00 degrees
Space group Fm-3m (No. 225)
Symmetry-distinct sites (fractional):
Rb  0.2500  0.2500  0.2500
H  0.0000  0.0000  0.0000
Ir  0.0000  0.0000  0.5000

Results
Offset from the most stable computed form in meV per atom: 694
V in A^3/atom: 31.43



# 2
## Th2Pd8Pb (GGA-PBE)

Data for an optimized crystal structure of Th2Pd8Pb.

Cell lengths 5.2052, 5.8431, 7.6804 Å; angles 112.19, 92.54, 90.05 degrees
Space group P-1 (No. 2)
Symmetry-distinct sites (fractional):
Th  0.1903  0.3419  0.1852
Pd  0.0003  0.2425  0.5002
Pd  0.1719  0.8269  0.1545
Pd  0.3211  0.4147  0.8335
Pd  0.3210  0.9202  0.8332
Pb  0.5000  0.0000  0.5000

Results
ΔE_f in meV/atom: -654
V in A^3/atom: 19.64



# 3
## CuSnTeN2 (GGA-PBE)

Data for an optimized crystal structure of CuSnTeN2.

Cell lengths 4.1693, 4.1693, 5.3102 Å; angles 90.00, 90.00, 90.00 degrees
Space group P4/mmm (No. 123)
Symmetry-distinct sites (fractional):
Cu  0.0000  0.0000  0.0000
Sn  0.5000  0.5000  0.5000
Te  0.0000  0.0000  0.5000
N  0.0000  0.5000  0.0000

Results
ΔE_f (raw) in eV per atom: 1.448
Offset from the most stable computed form in meV per atom: 93
V in A^3/atom: 18.46



# 4
## PmGa2Fe2C (GGA-PBE)

Data for an optimized crystal structure of PmGa2Fe2C.

Cell lengths 3.8841, 3.8841, 5.6364 Å; angles 90.00, 90.00, 90.00 degrees
Space group P4/mmm (No. 123)
Symmetry-distinct sites (fractional):
Pm  0.0000  0.0000  0.0000
Ga  0.5000  0.5000  0.2302
Fe  0.0000  0.5000  0.5000
C  0.0000  0.0000  0.5000

Results
ΔE_f in meV/atom: -311
V in A^3/atom: 14.17



# 5
## Hf4Bi (GGA-PBE)

Data for an optimized crystal structure of Hf4Bi.

Cell lengths 8.7183, 8.7183, 6.7586 Å; angles 90.00, 90.00, 90.00 degrees
Space group I4_1/amd (No. 141, origin choice 2)
Symmetry-distinct sites (fractional):
Hf  0.0000  0.0597  0.2520
Bi  0.0000  0.2500  0.8750

Results
ΔE_f in meV/atom: 341
Offset from the most stable computed form in meV per atom: 0
V in A^3/atom: 25.69



# 6
## Sc2AlPb2 (GGA-PBE)

Data for an optimized crystal structure of Sc2AlPb2.

Cell lengths 7.4342, 7.4342, 4.4764 Å; angles 90.00, 90.00, 90.00 degrees
Space group P4/mbm (No. 127)
Symmetry-distinct sites (fractional):
Sc  0.1590  0.3410  0.0000
Al  0.0000  0.0000  0.0000
Pb  0.1539  0.6539  0.5000

Results
ΔE_f in meV/atom: -171
Offset from the most stable computed form in meV per atom: 0
V in A^3/atom: 24.74